# 1
Sb2TeIrC at its PBEsol-relaxed geometry, computed with SCAN.

Crystal system: tetragonal
Spin magnetization: 0.0 μB/cell
Uncorrected formation energy: 6.60 eV per formula unit
DOS at the Fermi energy: 0.31 states/eV/atom

```
Sb2TeIrC
1.0
4.6312 0.0000 0.0000
0.0000 4.4878 0.0000
0.0000 0.0000 4.4878
Sb Te Ir C
2 1 1 1
Cartesian
0.0000 2.2439 0.0000
0.0000 0.0000 2.2439
2.3156 0.0000 0.0000
2.3156 2.2439 2.2439
0.0000 0.0000 0.0000
```

# 2
ScIrC2 at its PBEsol-relaxed geometry, computed with SCAN.

Crystal system: tetragonal
E_form: 0.179 eV per atom
Spin magnetization: 0.0 μB/cell
DOS at the Fermi energy: 0.47 states/eV/atom

```
ScIrC2
1.0
-1.3916 1.7640 -4.0897
2.7030 -3.0709 -2.2443
-4.4751 -2.6248 3.0527
C Sc Ir
4 2 2
Cartesian
-1.3982 -0.1687 -3.8785
-3.3388 -1.9656 1.6193
-2.3903 -2.9518 -1.7908
0.7999 -2.7773 -2.5127
-2.6055 -0.7571 -2.1020
0.6557 -0.6535 -3.1670
0.0000 0.0000 0.0000
-0.5582 -3.1746 -1.1793
```